# 1
First-principles (GGA-PBEsol) data for a geometry-optimized ZnOsRh2 structure, as listed in Alexandria.

Geometry as CIF:
```
data_ZnOsRh2
_cell_length_a 2.7150
_cell_length_b 2.7150
_cell_length_c 7.2847
_cell_angle_alpha 90.00
_cell_angle_beta 90.00
_cell_angle_gamma 90.00
_space_group_name_H-M_alt 'P 1'
_space_group_IT_number 1
loop_
_space_group_symop_operation_xyz
'x,y,z'
loop_
_atom_site_label
_atom_site_fract_x
_atom_site_fract_y
_atom_site_fract_z
_atom_site_occupancy
Zn1 0.0000 0.0000 0.0000 1
Os1 0.0000 0.0000 0.5000 1
Rh1 0.5000 0.5000 0.2495 1
Rh2 0.5000 0.5000 0.7505 1
```

# 2
First-principles (GGA-PBEsol) data for a geometry-optimized ZnOsRh2 structure, as listed in Alexandria.

Geometry as CIF:
```
data_ZnOsRh2
_cell_length_a 2.7072
_cell_length_b 3.7356
_cell_length_c 5.3288
_cell_angle_alpha 90.00
_cell_angle_beta 90.00
_cell_angle_gamma 90.00
_space_group_name_H-M_alt 'P 1'
_space_group_IT_number 1
loop_
_space_group_symop_operation_xyz
'x,y,z'
loop_
_atom_site_label
_atom_site_fract_x
_atom_site_fract_y
_atom_site_fract_z
_atom_site_occupancy
Zn1 0.0000 0.0000 0.0000 1
Os1 0.0000 0.0000 0.5000 1
Rh1 0.5000 0.5000 0.2527 1
Rh2 0.5000 0.5000 0.7473 1
```

# 3
First-principles (GGA-PBEsol) data for a geometry-optimized ZnOsRh2 structure, as listed in Alexandria.

Geometry as CIF:
```
data_ZnOsRh2
_cell_length_a 4.5980
_cell_length_b 4.5980
_cell_length_c 4.6499
_cell_angle_alpha 98.41
_cell_angle_beta 98.41
_cell_angle_gamma 33.75
_space_group_name_H-M_alt 'P 1'
_space_group_IT_number 1
loop_
_space_group_symop_operation_xyz
'x,y,z'
loop_
_atom_site_label
_atom_site_fract_x
_atom_site_fract_y
_atom_site_fract_z
_atom_site_occupancy
Zn1 0.0000 0.0000 0.0000 1
Os1 0.5000 0.5000 0.5000 1
Rh1 0.2472 0.2472 0.7464 1
Rh2 0.7528 0.7528 0.2536 1
```

no.,E_form (eV per atom),total DFT energy (no corrections) (eV/cell)
1,-0.163,-30.7
2,-0.056,-30.3
3,0.022,-30.0